Entry 1:
Below is AcSbAs after structural relaxation, with properties calculated at the PBE-GGA level.

## Properties
ΔE_f (raw), eV per formula unit: -1.6
Volume, Å³ per cell: 174.9
Crystal system: tetragonal

Cell: 4.0367 4.0367 10.7325 Å, 90.00 90.00 90.00°
Last column: nearest neighbours and their distance in Å.
Space group I4mm (No. 107)
Asymmetric unit:
Ac 0.0000 0.0000 0.0000 x2  5 As 3.22-3.57, 5 Sb 3.26-3.55
Sb 0.0000 0.0000 0.6960 x2  4 As 3.06, 1 Ac 3.26
As 0.0000 0.0000 0.2998 x2  4 Sb 3.06, 1 Ac 3.22



Entry 2:
Below is Ac2SbAs after structural relaxation, with properties calculated at the PBE-GGA level.

## Properties
ΔE_f (raw), eV per formula unit: -5.4
Volume, Å³ per cell: 433.7
Crystal system: trigonal

Cell: 4.6668 4.6668 22.9924 Å, 90.00 90.00 120.00°
Last column: nearest neighbours and their distance in Å.
Space group R-3m (No. 166, hexagonal axes)
Asymmetric unit:
Ac 0.0000 0.0000 0.2454 x6  3 As 3.25, 3 Sb 3.37
Sb 0.0000 0.0000 0.0000 x3  6 Ac 3.37
As 0.0000 0.0000 0.5000 x3  6 Ac 3.25



Entry 3:
Below is AcSb2As after structural relaxation, with properties calculated at the PBE-GGA level.

## Properties
ΔE_f (raw), eV per formula unit: -1.4
Volume, Å³ per cell: 365.9
Crystal system: trigonal

Cell: 5.1726 5.1726 15.7933 Å, 90.00 90.00 120.00°
Last column: nearest neighbours and their distance in Å.
Space group R-3m (No. 166, hexagonal axes)
Asymmetric unit:
Ac 0.0000 0.0000 0.0000 x3  8 Sb 3.36-3.54
Sb 0.0000 0.0000 0.2130 x6  3 As 3.07, 3 Sb 3.33, 1 Ac 3.36
As 0.0000 0.0000 0.5000 x3  6 Sb 3.07



Entry 4:
Below is Ac2SbAs after structural relaxation, with properties calculated at the PBE-GGA level.

## Properties
ΔE_f (raw), eV per formula unit: -5.1
Volume, Å³ per cell: 293.6
Crystal system: hexagonal

Cell: 4.6472 4.6472 15.6987 Å, 90.00 90.00 120.00°
Last column: nearest neighbours and their distance in Å.
Space group P6_3/mmc (No. 194)
Asymmetric unit:
Ac 0.3333 0.6667 0.1158 x4  3 As 3.24, 3 Sb 3.41
Sb 0.3333 0.6667 0.7500 x2  6 Ac 3.41
As 0.0000 0.0000 0.0000 x2  6 Ac 3.24



Entry 5:
Below is AcSbAs2 after structural relaxation, with properties calculated at the PBE-GGA level.

## Properties
ΔE_f (raw), eV per formula unit: -1.8
Volume, Å³ per cell: 423.7
Crystal system: cubic

Cell: 7.5107 7.5107 7.5107 Å, 90.00 90.00 90.00°
Last column: nearest neighbours and their distance in Å.
Space group Fm-3m (No. 225)
Asymmetric unit:
Ac 0.0000 0.0000 0.0000 x4  8 As 3.25
Sb 0.0000 0.0000 0.5000 x4  8 As 3.25
As 0.2500 0.2500 0.2500 x8  4 Sb 3.25, 4 Ac 3.25



Entry 6:
Below is Ac2SbAs after structural relaxation, with properties calculated at the PBE-GGA level.

## Properties
ΔE_f (raw), eV per formula unit: -5.3
Volume, Å³ per cell: 289.6
Crystal system: orthorhombic

Cell: 4.6562 6.6285 9.3822 Å, 90.00 90.00 90.00°
Last column: nearest neighbours and their distance in Å.
Space group Pmmn (No. 59, origin choice 2)
Asymmetric unit:
Ac 0.2500 0.2500 0.1137 x2  4 As 3.21-3.32, 2 Sb 3.38
Ac 0.2500 0.2500 0.6376 x2  2 As 3.24, 4 Sb 3.32-3.39
Sb 0.2500 0.7500 0.6256 x2  6 Ac 3.32-3.39
As 0.2500 0.7500 0.1220 x2  6 Ac 3.21-3.32